A geometry-optimized SrFeReO6 structure. Source: the Alexandria database, functional PBE+U.

uncorrected energy = -7.2472 eV/atom
M_tot = 2.002 Bohr magnetons per cell
theoretical density = 5.723 g/cm³

Cell lengths 5.1432, 8.9293, 5.3786 Å; angles 90.00, 90.06, 90.00 degrees
With the nearest neighbours (Å) after each atom.
Space group C2 (No. 5)
One atom of each set of equivalent atoms:
1 Sr 0.0000 0.0000 0.0000  6 O 2.55-2.56
2 Fe 0.0000 0.6671 0.5000  6 O 1.95-1.96
3 Re 0.0000 0.3339 0.5000  6 O 1.90
4 O 0.1133 0.4962 0.7011  1 Re 1.90, 1 Fe 1.96
5 O 0.1858 0.1943 0.6990  1 Re 1.90, 1 Fe 1.95
6 O 0.1953 0.8121 0.6973  1 Re 1.90, 1 Fe 1.95